1.
A geometry-optimized P5H3 structure. Source: Alexandria, functional PBE.

Electronic total energy: -4.602 eV per atom

a b c (Å): 10.1825 10.1825 6.1533
angles (deg): 98.98 98.98 143.79
With the nearest neighbours (Å) after each atom.
Element x y z (fractional)
P  0.0304  0.9696  0.5000  3 P 2.25-2.26
P  0.1054  0.5371  0.1909  1 H 1.43
P  0.1262  0.7005  0.5183  3 P 2.23-2.26
P  0.5371  0.1054  0.6909  1 H 1.43
P  0.7005  0.1262  0.0183  3 P 2.23-2.26
P  0.7158  0.7882  0.1645  1 H 1.44
P  0.7263  0.9763  0.7586  1 H 1.44
P  0.7882  0.7158  0.6645  1 H 1.44
P  0.9696  0.0304  0.0000  3 P 2.25-2.26
P  0.9763  0.7263  0.2586  1 H 1.44
H  0.1944  0.5031  0.3331  1 P 1.43
H  0.2009  0.9320  0.2393  1 P 1.44
H  0.5031  0.1944  0.8331  1 P 1.43
H  0.7669  0.9662  0.2899  1 P 1.44
H  0.9320  0.2009  0.7393  1 P 1.44
H  0.9662  0.7669  0.7899  1 P 1.44

---

2.
A geometry-optimized In2Ag8Pd structure. Source: Alexandria, functional PBE.

Formation enthalpy at 0 K: 0.0894 eV per atom

a b c (Å): 7.6635 7.6635 5.0375
angles (deg): 106.05 106.05 119.40
With the nearest neighbours (Å) after each atom.
Element x y z (fractional)
In  0.1930  0.8070  0.0000  8 Ag 2.83-2.95
In  0.8070  0.1930  0.0000  8 Ag 2.83-2.95
Ag  0.0949  0.0949  0.3212  6 Ag 2.72-2.96, 1 Pd 2.74, 2 In 2.90
Ag  0.1817  0.4019  0.8843  5 Ag 2.76-2.96, 2 In 2.84-2.95, 1 Pd 2.98
Ag  0.2908  0.7092  0.5000  1 Pd 2.77, 2 In 2.83, 2 Ag 2.91
Ag  0.4019  0.1817  0.8843  5 Ag 2.76-2.96, 2 In 2.84-2.95, 1 Pd 2.98
Ag  0.5981  0.8183  0.1157  5 Ag 2.76-2.96, 2 In 2.84-2.95, 1 Pd 2.98
Ag  0.7092  0.2908  0.5000  1 Pd 2.77, 2 In 2.83, 2 Ag 2.91
Ag  0.8183  0.5981  0.1157  5 Ag 2.76-2.96, 2 In 2.84-2.95, 1 Pd 2.98
Ag  0.9051  0.9051  0.6788  6 Ag 2.72-2.96, 1 Pd 2.74, 2 In 2.90
Pd  0.5000  0.5000  0.5000  8 Ag 2.74-2.98

---

3.
A geometry-optimized CdReRu2 structure. Source: Alexandria, functional PBE.

Formation enthalpy at 0 K: 0.2689 eV per atom

a b c (Å): 2.8026 3.7491 5.9793
angles (deg): 90.00 90.00 90.00
With the nearest neighbours (Å) after each atom.
Element x y z (fractional)
Cd  0.0000  0.0000  0.0000  2 Cd 2.80, 8 Ru 2.87, 2 Re 2.99
Re  0.0000  0.0000  0.5000  8 Ru 2.69, 2 Re 2.80, 2 Cd 2.99
Ru  0.5000  0.5000  0.2790  3 Ru 2.64-2.80, 4 Re 2.69, 4 Cd 2.87
Ru  0.5000  0.5000  0.7210  3 Ru 2.64-2.80, 4 Re 2.69, 4 Cd 2.87

---

4.
A geometry-optimized InCu2Ge structure. Source: Alexandria, functional PBE.

Formation enthalpy at 0 K: 0.1685 eV per atom

a b c (Å): 8.2794 8.2794 8.2794
angles (deg): 21.55 21.55 21.55
With the nearest neighbours (Å) after each atom.
Element x y z (fractional)
In  0.0000  0.0000  0.0000  6 Cu 2.82, 6 In 3.10
Cu  0.2436  0.2436  0.2436  3 Ge 2.58, 3 In 2.82
Cu  0.7564  0.7564  0.7564  3 Ge 2.58, 3 In 2.82
Ge  0.5000  0.5000  0.5000  6 Cu 2.58

---

5.
A geometry-optimized HfTlPt3 structure. Source: Alexandria, functional PBE.

Formation enthalpy at 0 K: 0.4284 eV per atom
Excess energy over the best structure of this formula in the dataset: 0.000 eV/atom

a b c (Å): 5.0297 5.0297 5.0297
angles (deg): 90.00 90.00 90.00
With the nearest neighbours (Å) after each atom.
Element x y z (fractional)
Hf  0.0000  0.0000  0.0000  6 Pt 2.51
Tl  0.5000  0.5000  0.5000  12 Pt 3.56
Pt  0.0000  0.0000  0.5000  2 Hf 2.51
Pt  0.0000  0.5000  0.0000  2 Hf 2.51
Pt  0.5000  0.0000  0.0000  2 Hf 2.51

---

6.
A geometry-optimized BaYTa2 structure. Source: Alexandria, functional PBE.

Formation enthalpy at 0 K: 0.7969 eV per atom
Excess energy over the best structure of this formula in the dataset: 0.365 eV/atom

a b c (Å): 6.5582 6.5582 6.5582
angles (deg): 149.79 127.83 61.48
With the nearest neighbours (Å) after each atom.
Element x y z (fractional)
Ba  0.0000  0.0000  0.0000  6 Ta 3.42-3.46, 2 Ba 3.42, 4 Y 3.69-3.74
Y  0.7048  0.2048  0.5000  2 Y 3.42, 6 Ta 3.43, 4 Ba 3.69-3.74
Ta  0.2672  0.7672  0.5000  2 Ta 2.60
Ta  0.4415  0.4415  0.0000  2 Ta 2.60

---

no.,total magnetization (μB/atom)
1,0.0000
2,0.0000
3,0.0000
4,0.0000
5,0.0000
6,0.0000